No. 1
{
  "formula": "BaGaSi3",
  "functional": "PBE",
  "state": "relaxed",
  "lattice_angstrom": [[5.0021, 0.0000, 0.0000], [0.0000, 5.0021, 0.0000], [0.0000, 0.0000, 5.0021]],
  "species": ["Si", "Si", "Si", "Ba", "Ga"],
  "frac_coords": [[0.0000, 0.5000, 0.0000], [0.0000, 0.0000, 0.5000], [0.5000, 0.0000, 0.0000], [0.5000, 0.5000, 0.5000], [0.0000, 0.0000, 0.0000]],
  "m_tot_mub_per_cell": 0.00,
  "e_form_raw_ev_per_atom": 0.378,
  "sg": "Pm-3m"
}

No. 2
{
  "formula": "Ba3Ga2Si4",
  "functional": "PBE",
  "state": "relaxed",
  "lattice_angstrom": [[4.2696, 0.0000, 0.0000], [-2.1348, 6.4666, -0.0884], [0.0000, -2.7308, 8.5831]],
  "species": ["Ba", "Ba", "Ba", "Ga", "Ga", "Si", "Si", "Si", "Si"],
  "frac_coords": [[0.6023, 0.2045, 0.6793], [0.0000, 0.0000, 0.0000], [0.3977, 0.7955, 0.3207], [0.7020, 0.4039, 0.3301], [0.2980, 0.5961, 0.6699], [0.7209, 0.4418, 0.0504], [0.2791, 0.5582, 0.9496], [0.8743, 0.7485, 0.6002], [0.1257, 0.2515, 0.3998]],
  "m_tot_mub_per_cell": 0.00,
  "e_form_raw_ev_per_atom": -0.357,
  "sg": "C2/m"
}

No. 3
{
  "formula": "BaGa2Si2",
  "functional": "PBE",
  "state": "relaxed",
  "lattice_angstrom": [[-4.8501, -5.5873, -3.3507], [-0.0524, -4.1436, 6.9854], [-2.7897, 1.7955, 1.0441]],
  "species": ["Si", "Si", "Si", "Si", "Ba", "Ba", "Ga", "Ga", "Ga", "Ga"],
  "frac_coords": [[0.3893, 0.8893, 0.0000], [0.8893, 0.6107, 0.0000], [0.6107, 0.1107, 0.0000], [0.1107, 0.3893, 0.0000], [0.0000, 0.0000, 0.0000], [0.5000, 0.5000, 0.0000], [0.1444, 0.6444, 0.5000], [0.6444, 0.8556, 0.5000], [0.8556, 0.3556, 0.5000], [0.3556, 0.1444, 0.5000]],
  "m_tot_mub_per_cell": 0.00,
  "e_form_raw_ev_per_atom": 0.034,
  "sg": "P4/mbm"
}

No. 4
{
  "formula": "BaGa2Si2",
  "functional": "PBE",
  "state": "relaxed",
  "lattice_angstrom": [[-6.5487, 4.2209, 2.1771], [-4.7394, -5.5683, -3.4603], [-0.1300, -1.7266, 2.9564]],
  "species": ["Si", "Si", "Si", "Si", "Ba", "Ba", "Ga", "Ga", "Ga", "Ga"],
  "frac_coords": [[0.1431, 0.6431, 0.5000], [0.6431, 0.8569, 0.5000], [0.8569, 0.3569, 0.5000], [0.3569, 0.1431, 0.5000], [0.0000, 0.0000, 0.0000], [0.5000, 0.5000, 0.0000], [0.3768, 0.8768, 0.0000], [0.8768, 0.6232, 0.0000], [0.6232, 0.1232, 0.0000], [0.1232, 0.3768, 0.0000]],
  "m_tot_mub_per_cell": 0.00,
  "e_form_raw_ev_per_atom": 0.061,
  "sg": "P4/mbm"
}

No. 5
{
  "formula": "BaGaSi",
  "functional": "PBE",
  "state": "relaxed",
  "lattice_angstrom": [[-0.4097, 0.6673, 4.2181], [-5.7350, -2.2821, 1.9857], [0.8818, -5.9232, 3.2044]],
  "species": ["Ba", "Ba", "Ga", "Ga", "Si", "Si"],
  "frac_coords": [[0.4451, 0.8023, 0.3074], [0.5549, 0.1977, 0.6926], [0.8131, 0.2972, 0.0765], [0.1869, 0.7028, 0.9235], [0.1870, 0.3629, 0.2631], [0.8130, 0.6371, 0.7369]],
  "m_tot_mub_per_cell": 0.00,
  "e_form_raw_ev_per_atom": -0.394,
  "sg": "C2/m"
}

No. 6
{
  "formula": "Ba3Ga3Si",
  "functional": "PBE",
  "state": "relaxed",
  "lattice_angstrom": [[4.2350, 0.0000, -0.9239], [-0.2508, 4.9495, -1.1498], [0.1367, -0.1001, 10.7947]],
  "species": ["Ba", "Ba", "Ba", "Ga", "Ga", "Ga", "Si"],
  "frac_coords": [[0.3202, 0.8202, 0.6404], [0.6824, 0.1824, 0.3648], [0.9972, 0.9972, 0.9943], [0.1310, 0.6310, 0.2621], [0.8706, 0.3706, 0.7411], [0.5600, 0.5600, 0.1199], [0.4387, 0.4387, 0.8774]],
  "m_tot_mub_per_cell": 0.00,
  "e_form_raw_ev_per_atom": -0.420,
  "sg": "Imm2"
}

No. 7
{
  "formula": "BaGaSi3",
  "functional": "PBE",
  "state": "relaxed",
  "lattice_angstrom": [[-4.0274, 4.0089, 0.5665], [-1.3382, -0.5639, -5.5229], [-3.8212, -4.0277, 1.3371]],
  "species": ["Si", "Si", "Si", "Ba", "Ga"],
  "frac_coords": [[0.0000, 0.5000, 0.0000], [0.0000, 0.0000, 0.5000], [0.5000, 0.0000, 0.0000], [0.0000, 0.0000, 0.0000], [0.5000, 0.5000, 0.5000]],
  "m_tot_mub_per_cell": 0.00,
  "e_form_raw_ev_per_atom": 1.686,
  "sg": "Pm-3m"
}

No. 8
{
  "formula": "Ba3GaSi",
  "functional": "PBE",
  "state": "relaxed",
  "lattice_angstrom": [[-4.1527, 4.1951, 2.3547], [-4.5775, -4.4026, -0.2292], [1.4800, -1.8458, 5.8984]],
  "species": ["Si", "Ba", "Ba", "Ba", "Ga"],
  "frac_coords": [[0.0000, 0.0000, 0.0000], [0.0000, 0.5000, 0.0000], [0.0000, 0.0000, 0.5000], [0.5000, 0.0000, 0.0000], [0.5000, 0.5000, 0.5000]],
  "m_tot_mub_per_cell": 2.72,
  "e_form_raw_ev_per_atom": 0.062,
  "sg": "Pm-3m"
}